1.
{"formula": "ZnSi2Tc", "functional": "PBE", "state": "optimized geometry", "space_group": "Immm, No. 71", "e_form_raw_ev_per_atom": 0.021, "vol_a3_per_atom": 13.732, "m_tot_mub_per_fu": 0.00, "de_polymorph_mev_per_atom": 132.1, "lattice": [[-1.532, 4.428, 0.081], [-0.944, 1.368, -4.382], [-1.317, -3.402, 2.942]], "species": ["Si", "Si", "Tc", "Zn"], "frac_coords": [[0.005, 0.005, 0.000], [0.495, 0.495, 0.000], [0.750, 0.250, 0.500], [0.250, 0.750, 0.500]]}



2.
{"formula": "GaSbI2O", "functional": "PBE", "state": "optimized geometry", "space_group": "P4/mmm, No. 123", "e_form_raw_ev_per_atom": -0.380, "vol_a3_per_atom": 31.864, "m_tot_mub_per_fu": 0.00, "de_polymorph_mev_per_atom": 0.0, "lattice": [[-3.239, 4.680, -2.479], [0.686, -2.510, -5.636], [-3.497, -2.141, 0.528]], "species": ["I", "I", "Sb", "O", "Ga"], "frac_coords": [[0.000, 0.500, 0.000], [0.500, 0.000, 0.000], [0.000, 0.000, 0.000], [0.000, 0.000, 0.500], [0.500, 0.500, 0.500]]}



3.
{"formula": "MgAlMo2", "functional": "PBE", "state": "optimized geometry", "delta_e_f_mev_per_atom": 130.6, "space_group": "Cm, No. 8", "vol_a3_per_atom": 16.247, "m_tot_mub_per_fu": 0.00, "de_polymorph_mev_per_atom": 123.5, "lattice": [[4.846, -0.010, 0.000], [4.071, 2.630, 0.000], [0.431, 0.127, 5.082]], "species": ["Al", "Mg", "Mo", "Mo"], "frac_coords": [[0.496, 0.496, 0.499], [0.247, 0.247, 0.257], [0.000, 0.000, 0.988], [0.757, 0.757, 0.755]]}



4.
{"formula": "MnCr2Re", "functional": "PBE", "state": "optimized geometry", "delta_e_f_mev_per_atom": 62.8, "space_group": "Imm2, No. 44", "vol_a3_per_atom": 12.343, "m_tot_mub_per_fu": 0.00, "lattice": [[4.804, -0.006, -0.001], [3.918, 2.780, -0.001], [1.782, 0.567, 3.690]], "species": ["Cr", "Cr", "Mn", "Re"], "frac_coords": [[0.990, 0.990, 0.010], [0.258, 0.258, 0.242], [0.507, 0.507, 0.493], [0.745, 0.745, 0.755]]}



5.
{"formula": "TlP2SF", "functional": "PBE", "state": "optimized geometry", "space_group": "P4/mmm, No. 123", "e_form_raw_ev_per_atom": 0.546, "vol_a3_per_atom": 21.036, "m_tot_mub_per_fu": 0.02, "de_polymorph_mev_per_atom": 0.0, "lattice": [[4.097, 0.000, 0.000], [0.000, 4.097, 0.000], [0.000, 0.000, 6.265]], "species": ["P", "P", "Tl", "S", "F"], "frac_coords": [[0.000, 0.500, 0.000], [0.500, 0.000, 0.000], [0.500, 0.500, 0.500], [0.000, 0.000, 0.500], [0.000, 0.000, 0.000]]}



6.
{"formula": "Cs2AgPbI6", "functional": "PBE", "state": "optimized geometry", "space_group": "P4/mmm, No. 123", "e_form_raw_ev_per_atom": -0.827, "vol_a3_per_atom": 46.183, "m_tot_mub_per_fu": 0.00, "de_polymorph_mev_per_atom": 11.1, "lattice": [[-2.261, -0.384, -5.744], [-5.070, -2.790, 2.182], [-5.323, 10.749, 1.377]], "species": ["Cs", "Cs", "Ag", "Pb", "I", "I", "I", "I", "I", "I"], "frac_coords": [[0.000, 0.000, 0.729], [0.000, 0.000, 0.271], [0.500, 0.500, 0.500], [0.500, 0.500, 0.000], [0.500, 0.000, 0.000], [0.500, 0.000, 0.500], [0.000, 0.500, 0.000], [0.000, 0.500, 0.500], [0.500, 0.500, 0.739], [0.500, 0.500, 0.261]]}



7.
{"formula": "Pu3Rh4", "functional": "PBE", "state": "optimized geometry", "delta_e_f_mev_per_atom": -459.9, "space_group": "R-3, No. 148", "vol_a3_per_atom": 19.201, "m_tot_mub_per_fu": 14.28, "lattice": [[-1.245, 5.595, 0.132], [-6.518, -3.452, 1.840], [5.506, -0.855, 5.172]], "species": ["Pu", "Pu", "Pu", "Pu", "Pu", "Pu", "Rh", "Rh", "Rh", "Rh", "Rh", "Rh", "Rh", "Rh"], "frac_coords": [[0.095, 0.612, 0.865], [0.229, 0.135, 0.746], [0.483, 0.254, 0.388], [0.905, 0.388, 0.135], [0.771, 0.865, 0.254], [0.517, 0.746, 0.612], [0.500, 0.000, 0.000], [0.000, 0.000, 0.000], [0.961, 0.697, 0.537], [0.424, 0.463, 0.160], [0.264, 0.840, 0.303], [0.039, 0.303, 0.463], [0.576, 0.537, 0.840], [0.736, 0.160, 0.697]]}



8.
{"formula": "Ca2CoPtN", "functional": "PBE", "state": "optimized geometry", "space_group": "P4/mmm, No. 123", "e_form_raw_ev_per_atom": -0.690, "vol_a3_per_atom": 17.639, "m_tot_mub_per_fu": 0.00, "lattice": [[-0.424, 5.003, -0.297], [-5.009, -0.432, -0.122], [-0.102, 0.198, 3.480]], "species": ["Ca", "Ca", "Co", "Pt", "N"], "frac_coords": [[0.000, 0.500, 0.000], [0.500, 0.000, 0.000], [0.000, 0.000, 0.500], [0.500, 0.500, 0.500], [0.000, 0.000, 0.000]]}



9.
{"formula": "KBaSi2", "functional": "PBE", "state": "optimized geometry", "space_group": "Imm2, No. 44", "e_form_raw_ev_per_atom": -0.164, "vol_a3_per_atom": 29.000, "m_tot_mub_per_fu": 0.00, "de_polymorph_mev_per_atom": 17.2, "lattice": [[-5.189, 2.091, -2.991], [-5.208, -3.541, 0.762], [4.410, 3.371, 3.071]], "species": ["Ba", "K", "Si", "Si"], "frac_coords": [[0.466, 0.466, 0.000], [0.775, 0.275, 0.500], [0.065, 0.065, 0.000], [0.194, 0.694, 0.500]]}



10.
{"formula": "Pm5TiPb4", "functional": "PBE", "state": "optimized geometry", "delta_e_f_mev_per_atom": -115.7, "space_group": "C2/m, No. 12", "vol_a3_per_atom": 32.743, "m_tot_mub_per_fu": 0.00, "lattice": [[3.995, 0.000, 0.000], [0.000, 8.848, -0.813], [-1.998, -2.111, 9.457]], "species": ["Pm", "Pm", "Pm", "Pm", "Pm", "Ti", "Pb", "Pb", "Pb", "Pb"], "frac_coords": [[0.829, 0.630, 0.657], [0.826, 0.201, 0.653], [0.174, 0.799, 0.347], [0.500, 0.500, 0.000], [0.171, 0.370, 0.343], [0.500, 0.000, 0.000], [0.344, 0.926, 0.688], [0.002, 0.775, 0.004], [0.656, 0.074, 0.312], [0.998, 0.225, 0.996]]}



11.
{"formula": "Cd2TePb", "functional": "PBE", "state": "optimized geometry", "space_group": "P2/m, No. 10", "e_form_raw_ev_per_atom": -0.040, "vol_a3_per_atom": 30.190, "m_tot_mub_per_fu": 0.00, "de_polymorph_mev_per_atom": 30.6, "lattice": [[4.372, 0.000, 0.000], [0.000, 4.703, -0.004], [0.000, 2.482, 5.870]], "species": ["Pb", "Te", "Cd", "Cd"], "frac_coords": [[0.500, 0.500, 0.500], [0.000, 0.000, 0.500], [0.000, 0.000, 0.000], [0.500, 0.500, 0.000]]}



12.
{"formula": "Tb3PmNi8", "functional": "PBE", "state": "optimized geometry", "delta_e_f_mev_per_atom": -410.2, "space_group": "R3m, No. 160", "vol_a3_per_atom": 15.601, "m_tot_mub_per_fu": 0.00, "lattice": [[-2.148, -4.319, -1.630], [2.921, -3.844, -1.617], [0.525, -5.779, 6.671]], "species": ["Tb", "Tb", "Tb", "Pm", "Ni", "Ni", "Ni", "Ni", "Ni", "Ni", "Ni", "Ni"], "frac_coords": [[0.375, 0.375, 0.875], [0.000, 0.000, 0.999], [0.500, 0.500, 0.501], [0.875, 0.875, 0.375], [0.938, 0.438, 0.185], [0.435, 0.938, 0.689], [0.438, 0.438, 0.185], [0.938, 0.938, 0.689], [0.187, 0.187, 0.438], [0.688, 0.688, 0.937], [0.438, 0.938, 0.185], [0.938, 0.435, 0.689]]}